Entry 1:
DFT (PBE) results for Mg2RuBr after structural relaxation.

abc: 3.183 3.183 7.852
angles: 90.00 90.00 90.00
Atoms (fractional coordinates):
Mg1 0.000 0.000 0.000
Mg2 0.500 0.500 0.304
Ru1 0.000 0.000 0.511
Br1 0.500 0.500 0.737

Calculated values
DOS at the Fermi energy ... 3.92 states/eV/cell
Formation energy (no corrections) ... 1.1 eV per formula unit
Theoretical density ... 4.79 g/cm³
Symmetry ... No. 99


Entry 2:
DFT (PBE) results for SrOsClO4 after structural relaxation.

abc: 6.662 6.662 7.391
angles: 102.66 102.66 72.81
Atoms (fractional coordinates):
Sr1 0.208 0.208 0.125
Sr2 0.792 0.792 0.875
Os1 0.366 0.366 0.736
Os2 0.634 0.634 0.264
Cl1 0.024 0.024 0.764
Cl2 0.976 0.976 0.236
O1 0.137 0.491 0.843
O2 0.302 0.302 0.492
O3 0.464 0.464 0.207
O4 0.491 0.137 0.843
O5 0.509 0.863 0.157
O6 0.536 0.536 0.793
O7 0.698 0.698 0.508
O8 0.863 0.509 0.157

Calculated values
DOS at the Fermi energy ... 9.72 states/eV/cell
Formation energy (no corrections) ... -11.0 eV per formula unit
Theoretical density ... 4.16 g/cm³
Symmetry ... No. 12


Entry 3:
DFT (PBE) results for Tl2Te4AsPb after structural relaxation.

abc: 9.087 9.087 9.087
angles: 121.90 118.59 89.60
Atoms (fractional coordinates):
Tl1 0.000 0.000 0.000
Tl2 0.500 0.000 0.000
Tl3 0.500 0.000 0.500
Tl4 0.500 0.500 0.500
Te1 0.215 0.749 0.465
Te2 0.216 0.251 0.965
Te3 0.231 0.232 0.500
Te4 0.231 0.731 0.000
Te5 0.769 0.269 0.000
Te6 0.769 0.768 0.500
Te7 0.784 0.749 0.035
Te8 0.785 0.251 0.535
As1 0.000 0.000 0.500
As2 0.000 0.500 0.000
Pb1 0.000 0.500 0.500
Pb2 0.500 0.500 0.000

Calculated values
DOS at the Fermi energy ... 8.62 states/eV/cell
Formation energy (no corrections) ... -1.4 eV per formula unit
Theoretical density ... 7.55 g/cm³
Symmetry ... No. 74


Entry 4:
DFT (PBE) results for TlIn14Bi after structural relaxation.

abc: 10.891 6.655 6.655
angles: 68.08 90.00 90.00
Atoms (fractional coordinates):
Tl1 0.000 0.000 0.000
In1 0.000 0.510 0.965
In2 0.000 0.965 0.510
In3 0.244 0.266 0.266
In4 0.257 0.296 0.767
In5 0.257 0.767 0.296
In6 0.261 0.794 0.794
In7 0.500 0.067 0.067
In8 0.500 0.108 0.557
In9 0.500 0.557 0.108
In10 0.500 0.601 0.601
In11 0.739 0.794 0.794
In12 0.743 0.296 0.767
In13 0.743 0.767 0.296
In14 0.756 0.266 0.266
Bi1 0.000 0.476 0.476

Calculated values
DOS at the Fermi energy ... 5.56 states/eV/cell
Theoretical density ... 7.50 g/cm³
Symmetry ... No. 38
E_form ... 0.018 eV/atom